No. 1
# Zr3C | the Alexandria database | PBE | optimized geometry
data_Zr3C
_chemical_formula_sum 'Zr12 C4'
_symmetry_space_group_name_H-M 'F m -3 m'
_symmetry_Int_Tables_number 225
_symmetry_space_group_name_Hall '-F 4 2 3'
_cell_length_a 6.562
_cell_length_b 6.562
_cell_length_c 6.562
_cell_angle_alpha 90.00
_cell_angle_beta 90.00
_cell_angle_gamma 90.00
loop_
_atom_site_label
_atom_site_type_symbol
_atom_site_fract_x
_atom_site_fract_y
_atom_site_fract_z
Zr1 Zr 0.000 0.000 0.000
Zr2 Zr 0.250 0.250 0.250
C1 C 0.000 0.000 0.500
# Energy relative to the elements ... 4.019 eV per formula unit
# Energy relative to the lowest polymorph listed for this composition ... 5.613 eV per formula unit

No. 2
# PmY2Ga | the Alexandria database | PBE | optimized geometry
data_PmY2Ga
_chemical_formula_sum 'Pm1 Y2 Ga1'
_symmetry_space_group_name_H-M 'P 4/m m m'
_symmetry_Int_Tables_number 123
_symmetry_space_group_name_Hall '-P 4 2'
_cell_length_a 4.796
_cell_length_b 4.796
_cell_length_c 4.744
_cell_angle_alpha 90.00
_cell_angle_beta 90.00
_cell_angle_gamma 90.00
loop_
_atom_site_label
_atom_site_type_symbol
_atom_site_fract_x
_atom_site_fract_y
_atom_site_fract_z
Pm1 Pm 0.000 0.000 0.000
Y1 Y 0.000 0.500 0.500
Ga1 Ga 0.500 0.500 0.000
# Energy relative to the elements ... -0.941 eV per formula unit
# Energy relative to the lowest polymorph listed for this composition ... 0.248 eV per formula unit

No. 3
# NdAl4Rh2 | the Alexandria database | PBE | optimized geometry
data_NdAl4Rh2
_chemical_formula_sum 'Nd4 Al16 Rh8'
_symmetry_space_group_name_H-M 'P n m a'
_symmetry_Int_Tables_number 62
_symmetry_space_group_name_Hall '-P 2ac 2n'
_cell_length_a 17.346
_cell_length_b 4.318
_cell_length_c 6.613
_cell_angle_alpha 90.00
_cell_angle_beta 90.00
_cell_angle_gamma 90.00
loop_
_atom_site_label
_atom_site_type_symbol
_atom_site_fract_x
_atom_site_fract_y
_atom_site_fract_z
Nd1 Nd 0.138 0.250 0.009
Al1 Al 0.033 0.750 0.833
Al2 Al 0.072 0.250 0.499
Al3 Al 0.189 0.750 0.314
Al4 Al 0.193 0.750 0.716
Rh1 Rh 0.038 0.750 0.250
Rh2 Rh 0.215 0.250 0.515
# Energy relative to the elements ... -5.335 eV per formula unit

no.,VASP energy (eV per cell),Fermi-level density of states (states/eV/atom)
1,-123.40,1.068
2,-21.65,1.441
3,-159.11,0.564